DFT (PBE-GGA) results for a relaxed TlAg2Pt crystal.

```
TlAg2Pt
1.0
5.001 -0.020 0.014
4.088 2.881 0.014
0.846 0.266 5.238
Tl Pt Ag
1 1 2
Cartesian
7.479 2.354 3.857 Tl
5.003 1.574 2.634 Pt
9.062 2.852 0.149 Ag
2.446 0.770 1.286 Ag
```

- Symmetry: No. 8
- Offset from the most stable computed form: 0.031 eV per atom

---

DFT (PBE-GGA) results for a relaxed TlAgPt2 crystal.

```
TlAgPt2
1.0
-2.261 2.619 2.366
1.324 -1.975 3.452
3.156 2.518 0.230
Tl Ag Pt
1 1 2
Cartesian
0.447 2.569 1.298 Tl
2.240 0.272 1.841 Ag
0.000 0.000 0.000 Pt
-0.469 0.322 2.909 Pt
```

- Symmetry: No. 123

---

DFT (PBE-GGA) results for a relaxed TlAgPt crystal.

```
TlAgPt
1.0
-1.247 4.047 -2.058
2.191 -3.335 -2.500
-2.671 -1.200 -0.741
Tl Ag Pt
1 1 1
Cartesian
-0.538 -1.585 -2.792 Tl
-2.653 -1.191 -0.736 Ag
-1.207 1.090 -2.512 Pt
```

- Symmetry: No. 156
- Offset from the most stable computed form: 0.063 eV per atom

---

For reference, uncorrected energy by record: -3.45, -4.35, -3.66 eV per atom.
For reference, formation energy from the elements by record: 0.08, -0.03, 0.09 eV per atom.
For reference, DOS(E_F) by record: 0.266, 0.173, 0.447 states/eV/atom.